Record 1
{
  "formula": "Ho6Ga2Ni",
  "functional": "PBE",
  "state": "optimized geometry",
  "lattice_angstrom": [[-4.063, 4.233, -1.363], [-5.845, -5.702, -0.286], [-1.999, 1.590, 9.131]],
  "species": ["Ni", "Ni", "Ho", "Ho", "Ho", "Ho", "Ho", "Ho", "Ho", "Ho", "Ho", "Ho", "Ho", "Ho", "Ga", "Ga", "Ga", "Ga"],
  "frac_coords": [[0.000, 0.000, 0.500], [0.500, 0.500, 0.000], [0.886, 0.968, 0.239], [0.620, 0.177, 0.558], [0.126, 0.324, 0.443], [0.386, 0.532, 0.739], [0.374, 0.824, 0.057], [0.880, 0.677, 0.942], [0.614, 0.468, 0.261], [0.120, 0.323, 0.058], [0.874, 0.676, 0.557], [0.114, 0.032, 0.761], [0.626, 0.176, 0.943], [0.380, 0.823, 0.442], [0.573, 0.876, 0.749], [0.073, 0.624, 0.249], [0.427, 0.124, 0.251], [0.927, 0.376, 0.751]],
  "e_form_ev_per_atom": -0.307,
  "crystal_system": "monoclinic",
  "magmom_total_mub_per_cell": 0.0
}

---

Record 2
{
  "formula": "HoGa3Ni2",
  "functional": "PBE",
  "state": "optimized geometry",
  "lattice_angstrom": [[-3.062, -0.371, -2.449], [6.481, 0.809, -5.057], [-0.315, -9.339, 1.807]],
  "species": ["Ho", "Ho", "Ho", "Ni", "Ni", "Ni", "Ni", "Ni", "Ni", "Ga", "Ga", "Ga", "Ga", "Ga", "Ga", "Ga", "Ga", "Ga"],
  "frac_coords": [[0.000, 0.000, 0.000], [0.853, 0.707, 0.306], [0.147, 0.293, 0.694], [0.210, 0.421, 0.087], [0.790, 0.579, 0.913], [0.642, 0.284, 0.446], [0.508, 0.015, 0.767], [0.358, 0.716, 0.554], [0.492, 0.985, 0.233], [0.054, 0.108, 0.351], [0.775, 0.551, 0.625], [0.644, 0.289, 0.933], [0.946, 0.892, 0.649], [0.500, 0.000, 0.500], [0.359, 0.718, 0.808], [0.356, 0.711, 0.067], [0.225, 0.449, 0.375], [0.641, 0.282, 0.192]],
  "e_form_ev_per_atom": -0.537,
  "crystal_system": "monoclinic",
  "magmom_total_mub_per_cell": 0.0
}

---

Record 3
{
  "formula": "Ho2Ga3Ni",
  "functional": "PBE",
  "state": "optimized geometry",
  "lattice_angstrom": [[3.612, 0.000, 0.000], [0.000, 4.299, 0.000], [0.000, 0.000, 7.515]],
  "species": ["Ga", "Ga", "Ga", "Ho", "Ho", "Ni"],
  "frac_coords": [[0.500, 0.500, 0.656], [0.500, 0.000, 0.835], [0.500, 0.000, 0.175], [0.000, 0.000, 0.486], [0.000, 0.500, 0.018], [0.500, 0.500, 0.331]],
  "e_form_ev_per_atom": -0.639,
  "crystal_system": "orthorhombic",
  "magmom_total_mub_per_cell": 0.0
}

---

Record 4
{
  "formula": "HoGa4Ni3",
  "functional": "PBE",
  "state": "optimized geometry",
  "lattice_angstrom": [[-2.533, 2.436, -2.022], [0.540, -2.219, -3.350], [-5.988, -4.536, 2.039]],
  "species": ["Ga", "Ga", "Ga", "Ga", "Ni", "Ni", "Ni", "Ho"],
  "frac_coords": [[0.500, 0.000, 0.179], [0.000, 0.500, 0.821], [0.500, 0.000, 0.821], [0.000, 0.500, 0.179], [0.000, 0.000, 0.000], [0.500, 0.500, 0.353], [0.500, 0.500, 0.647], [0.000, 0.000, 0.500]],
  "e_form_ev_per_atom": -0.445,
  "crystal_system": "tetragonal",
  "magmom_total_mub_per_cell": 0.0
}

---

What is the formula in the first record?
Ho6Ga2Ni

---

Which formula does entry 2 have?
HoGa3Ni2